Material: Pr3HoO
Method: DFT, PBE-GGA
State: relaxed

Cell: 5.1333 5.1333 5.1333 Å, 90.00 90.00 90.00°
Positions (direct):
Pr (0.0000, 0.0000, 0.5000)
Pr (0.0000, 0.5000, 0.0000)
Pr (0.5000, 0.0000, 0.0000)
Ho (0.5000, 0.5000, 0.5000)
O (0.0000, 0.0000, 0.0000)

* symmetry: Pm-3m (221)
* mass density: 7411 kg/m³
* uncorrected energy: -5.868 eV per atom
* formation energy from raw total energies: -1.09 eV/atom